Sb2PbAu: optimized geometry, PBE-GGA.

a b c (Å): 4.0320 5.5347 9.5378
angles (deg): 90.00 90.00 90.00
With the nearest neighbours (Å) after each atom.
Space group Cmmm (No. 65)
Inequivalent atoms, fractional coordinates:
Sb (0.0000, 0.0000, 0.2097) [4 per cell]  2 Au 2.84
Pb (0.0000, 0.5000, 0.5000) [2 per cell]  4 Pb 3.42, 4 Sb 3.42
Au (0.0000, 0.5000, 0.0000) [2 per cell]  4 Sb 2.84

Calculated values
As for the raw formation energy: 0.0987 eV per atom.

***

Rb2CuTe2H: optimized geometry, PBE-GGA.

a b c (Å): 7.7271 14.3979 6.8094
angles (deg): 90.00 90.00 90.00
With the nearest neighbours (Å) after each atom.
Space group Ibam (No. 72)
Inequivalent atoms, fractional coordinates:
Rb (0.1655, 0.1395, 0.0000) [8 per cell]  2 H 2.93
Cu (0.0000, 0.5000, 0.2500) [4 per cell]  4 Te 2.62
Te (0.1895, 0.4060, 0.0000) [8 per cell]  2 Cu 2.62
H (0.0000, 0.0000, 0.2500) [4 per cell]  4 Rb 2.93, 4 Te 3.24

Calculated values
As for the total energy: -68.1 eV/cell.

***

Mn2ZnHPd: optimized geometry, PBE-GGA.

a b c (Å): 3.8864 3.8864 3.9164
angles (deg): 90.00 90.00 90.00
With the nearest neighbours (Å) after each atom.
Space group P4/mmm (No. 123)
Inequivalent atoms, fractional coordinates:
Mn (0.0000, 0.5000, 0.0000) [2 per cell]  2 H 1.94
Zn (0.0000, 0.0000, 0.5000) [1 per cell]  4 Pd 2.75, 8 Mn 2.76
H (0.5000, 0.5000, 0.0000) [1 per cell]  4 Mn 1.94, 2 Pd 1.96
Pd (0.5000, 0.5000, 0.5000) [1 per cell]  2 H 1.96

Calculated values
The distance to the lowest polymorph of the same formula is 0 meV per atom.

***

NdHo2Ge2: optimized geometry, PBE-GGA.

a b c (Å): 5.6972 4.5475 10.7474
angles (deg): 90.00 101.14 90.00
With the nearest neighbours (Å) after each atom.
Space group P2_1/m (No. 11)
Inequivalent atoms, fractional coordinates:
Nd (0.0807, 0.2500, 0.2815) [2 per cell]  5 Ge 3.07-3.22
Ho (0.2463, 0.2500, 0.9559) [2 per cell]  4 Ge 2.88-3.00
Ho (0.3912, 0.2500, 0.6250) [2 per cell]  5 Ge 2.89-3.19
Ge (0.1743, 0.7500, 0.4762) [2 per cell]  4 Ho 2.89-3.19, 3 Nd 3.07-3.22, 2 Ge 3.13
Ge (0.2756, 0.7500, 0.1221) [2 per cell]  5 Ho 2.88-3.00, 2 Nd 3.17

Calculated values
As for the total energy: -52.2 eV/cell.

***

CePr2PaS8: optimized geometry, PBE-GGA.

a b c (Å): 4.6456 6.7945 9.2715
angles (deg): 90.00 90.14 90.00
With the nearest neighbours (Å) after each atom.
Space group P2/m (No. 10)
Inequivalent atoms, fractional coordinates:
Ce (0.0000, 0.0000, 0.0000) [1 per cell]  8 S 2.84-2.88
Pr (0.5003, 0.5000, 0.2472) [2 per cell]  8 S 2.89-2.98
Pa (0.0000, 0.0000, 0.5000) [1 per cell]  8 S 2.75-2.80
S (0.0002, 0.2360, 0.2585) [4 per cell]  1 Pa 2.75, 1 Ce 2.88, 2 Pr 2.94
S (0.5000, 0.2300, 0.5000) [2 per cell]  2 Pa 2.80, 2 Pr 2.98, 1 S 3.13
S (0.5000, 0.2402, 0.0000) [2 per cell]  2 Ce 2.84, 2 Pr 2.89

Calculated values
As for the raw formation energy: -1.6856 eV per atom.

***

Ac2PrGa2: optimized geometry, PBE-GGA.

a b c (Å): 4.7701 6.8805 9.9039
angles (deg): 90.00 90.00 90.00
With the nearest neighbours (Å) after each atom.
Space group Immm (No. 71)
Inequivalent atoms, fractional coordinates:
Ac (0.0000, 0.0000, 0.1994) [4 per cell]  6 Ga 3.39-3.61
Pr (0.0000, 0.5000, 0.0000) [2 per cell]  4 Ga 3.14
Ga (0.0000, 0.2979, 0.5000) [4 per cell]  1 Ga 2.78

Calculated values
The distance to the lowest polymorph of the same formula is 24 meV per atom.

***

SnSN2O: optimized geometry, PBE-GGA.

a b c (Å): 4.2271 4.2271 3.9304
angles (deg): 90.00 90.00 90.00
With the nearest neighbours (Å) after each atom.
Space group P4/mmm (No. 123)
Inequivalent atoms, fractional coordinates:
Sn (0.0000, 0.0000, 0.0000) [1 per cell]  2 O 1.97, 4 N 2.11
S (0.5000, 0.5000, 0.5000) [1 per cell]  8 N 2.89, 4 O 2.99
N (0.0000, 0.5000, 0.0000) [2 per cell]  2 Sn 2.11
O (0.0000, 0.0000, 0.5000) [1 per cell]  2 Sn 1.97

Calculated values
As for the raw formation energy: 1.4588 eV per atom.

***

KNp2Tl2O7: optimized geometry, PBE-GGA.

a b c (Å): 6.0858 6.0858 11.7978
angles (deg): 90.00 104.74 90.00
With the nearest neighbours (Å) after each atom.
Space group C2/m (No. 12)
Inequivalent atoms, fractional coordinates:
K (0.0000, 0.0000, 0.0000) [2 per cell]  12 O 2.99-3.04
Np (0.0921, 0.5000, 0.1870) [4 per cell]  6 O 1.96-2.15
Tl (0.1915, 0.0000, 0.3841) [4 per cell]  9 O 2.93-3.16
O (0.0000, 0.5000, 0.0000) [2 per cell]  2 Np 2.13
O (0.1604, 0.2501, 0.8179) [8 per cell]  2 Np 2.15
O (0.1764, 0.5000, 0.3590) [4 per cell]  1 Np 1.96

Calculated values
As for the raw formation energy: -2.2473 eV per atom.

***

Ce6Sb5Se: optimized geometry, PBE-GGA.

a b c (Å): 7.7285 13.3885 7.7086
angles (deg): 90.00 109.56 90.00
With the nearest neighbours (Å) after each atom.
Space group C2/m (No. 12)
Inequivalent atoms, fractional coordinates:
Ce (0.2423, 0.0000, 0.2518) [4 per cell]  1 Se 3.09, 5 Sb 3.16-3.21
Ce (0.2439, 0.1627, 0.7445) [8 per cell]  1 Se 3.08, 5 Sb 3.15-3.19
Sb (0.0000, 0.1703, 0.0000) [4 per cell]  6 Ce 3.15-3.19
Sb (0.0000, 0.3340, 0.5000) [4 per cell]  6 Ce 3.16
Sb (0.0000, 0.5000, 0.0000) [2 per cell]  6 Ce 3.15-3.21
Se (0.0000, 0.0000, 0.5000) [2 per cell]  6 Ce 3.08-3.09

Calculated values
As for the raw formation energy: -1.1654 eV per atom.

***

NpGa4Co2: optimized geometry, PBE-GGA.

a b c (Å): 16.5882 4.1110 6.4682
angles (deg): 90.00 90.00 90.00
With the nearest neighbours (Å) after each atom.
Space group Pnma (No. 62)
Inequivalent atoms, fractional coordinates:
Np (0.1367, 0.2500, 0.0421) [4 per cell]  4 Co 2.86-3.13, 9 Ga 2.96-3.18
Ga (0.0353, 0.7500, 0.8336) [4 per cell]  3 Co 2.48-2.60, 1 Ga 2.69
Ga (0.0726, 0.2500, 0.5134) [4 per cell]  4 Co 2.48-2.77
Ga (0.1864, 0.7500, 0.3509) [4 per cell]  4 Co 2.47-2.50, 1 Ga 2.57
Ga (0.1941, 0.7500, 0.7471) [4 per cell]  3 Co 2.42-2.46, 2 Ga 2.57-2.69
Co (0.0435, 0.7500, 0.2356) [4 per cell]  7 Ga 2.48-2.77
Co (0.2212, 0.2500, 0.5513) [4 per cell]  7 Ga 2.42-2.50

Calculated values
As for the total energy: -162.6 eV/cell.

***

| no. | spin magnetization (μB/cell) | N(E_F) (states/eV/atom) |
| --- | --- | --- |
| 1 | 0.000 | 0.179 |
| 2 | 0.000 | 1.023 |
| 3 | 6.855 | 0.603 |
| 4 | 0.002 | 0.734 |
| 5 | 0.000 | 0.438 |
| 6 | 0.004 | 1.447 |
| 7 | 0.188 | 1.043 |
| 8 | 6.000 | 0.415 |
| 9 | 11.077 | 3.239 |
| 10 | 11.152 | 1.757 |